Computed, not measured: a relaxed structure of BaCaMg6O8 at the PBE level of DFT.

Results
- V: 12.65 Å³/atom
- Space group: P4/mmm (123)
- Formation energy without anion corrections: -2.2786 eV per atom
- Magnetic moment: 0.000 μB per atom
- Theoretical density: 3.7 Mg/m³

Lattice parameters (Å, degrees): 4.6798 4.6798 9.2411 90.00 90.00 90.00
Element x y z (fractional)
Ba 0.0000 0.0000 0.0000
Ca 0.0000 0.0000 0.5000
Mg 0.0000 0.5000 0.2638
Mg 0.0000 0.5000 0.7362
Mg 0.5000 0.0000 0.2638
Mg 0.5000 0.0000 0.7362
Mg 0.5000 0.5000 0.0000
Mg 0.5000 0.5000 0.5000
O 0.0000 0.0000 0.2681
O 0.0000 0.0000 0.7319
O 0.0000 0.5000 0.0000
O 0.0000 0.5000 0.5000
O 0.5000 0.0000 0.0000
O 0.5000 0.0000 0.5000
O 0.5000 0.5000 0.2574
O 0.5000 0.5000 0.7426

=====

Computed, not measured: a relaxed structure of BaCaMg6O8 at the PBE level of DFT.

Results
- V: 12.59 Å³/atom
- Space group: P4/mmm (123)
- Formation energy without anion corrections: -2.3658 eV per atom
- Magnetic moment: 0.000 μB per atom
- Theoretical density: 3.7 Mg/m³

Lattice parameters (Å, degrees): 4.7305 4.7305 9.0017 90.00 90.00 90.00
Element x y z (fractional)
Ba 0.0000 0.0000 0.0000
Ca 0.5000 0.5000 0.0000
Mg 0.0000 0.0000 0.5000
Mg 0.0000 0.5000 0.2743
Mg 0.0000 0.5000 0.7257
Mg 0.5000 0.0000 0.2743
Mg 0.5000 0.0000 0.7257
Mg 0.5000 0.5000 0.5000
O 0.0000 0.0000 0.2840
O 0.0000 0.0000 0.7160
O 0.0000 0.5000 0.0000
O 0.0000 0.5000 0.5000
O 0.5000 0.0000 0.0000
O 0.5000 0.0000 0.5000
O 0.5000 0.5000 0.2692
O 0.5000 0.5000 0.7308

=====

Question: Among the records above, which one has the highest formation energy without anion corrections?
Answer: number 1